Run a
First-principles (GGA-PBE) data for a relaxed structure of Na2Sr6Cd, as listed in Alexandria via LeMat-Bulk.

Calculated values
- Symmetry: Immm, No. 71
- Volume: 45.81 A^3/atom

The structure in extended XYZ format:
```
18
Lattice="-5.7266 5.8513 6.1521 5.7266 -5.8513 6.1521 5.7266 5.8513 -6.1521" Properties=species:S:1:pos:R:3 pbc="T T T"
Na 4.1572 0.0000 0.0000
Na 7.2960 0.0000 0.0000
Na 0.0000 1.5905 0.0000
Na 0.0000 10.1120 0.0000
Sr 5.7266 -2.0847 3.0589
Sr 3.7180 5.8513 -3.2305
Sr 2.0086 0.0000 2.9215
Sr 3.0099 3.6374 0.0000
Sr 2.7167 -2.2139 6.1521
Sr 5.7266 2.0847 3.0589
Sr 0.0000 3.7666 3.0931
Sr 3.0099 8.0652 0.0000
Sr 2.7167 2.2139 6.1521
Sr 3.7180 5.8513 3.2305
Sr 2.0086 0.0000 9.3826
Sr 0.0000 7.9359 3.0931
Cd 0.0000 5.8513 0.0000
Cd 0.0000 0.0000 6.1521
```

=====

Run b
First-principles (GGA-PBE) data for a relaxed structure of Na2Sr6Cd, as listed in Alexandria via LeMat-Bulk.

Calculated values
- Symmetry: Pnnm, No. 58
- Volume: 45.46 A^3/atom

The structure in extended XYZ format:
```
18
Lattice="11.6162 0.0000 0.0000 0.0000 11.6213 0.0000 0.0000 0.0000 6.0620" Properties=species:S:1:pos:R:3 pbc="T T T"
Na 2.3626 2.3732 0.0000
Na 3.4455 8.1839 3.0310
Na 8.1707 3.4374 3.0310
Na 9.2536 9.2481 0.0000
Sr 0.3404 3.6099 3.0310
Sr 1.3761 10.2535 0.0000
Sr 2.1981 6.1596 0.0000
Sr 3.6100 0.3490 3.0310
Sr 4.4320 4.4428 3.0310
Sr 5.4677 9.4206 0.0000
Sr 6.1485 2.2007 0.0000
Sr 7.1842 7.1785 3.0310
Sr 8.0062 11.2723 3.0310
Sr 9.4181 5.4616 0.0000
Sr 10.2401 1.3678 0.0000
Sr 11.2758 8.0113 3.0310
Cd 0.0000 0.0000 3.0310
Cd 5.8081 5.8106 0.0000
```

=====

Bottom line: run b, by a margin of 31 meV per atom.